First-principles (PBE) data for a relaxed structure of RbAcF5, as listed in Alexandria.

abc: 4.2013 4.2013 6.8964
angles: 90.00 90.00 90.00
Closest atoms and distances in Å follow each position.
Sites, in units of the cell vectors:
F (0.0000, 0.5000, 0.7205)  2 Ac 2.59, 2 F 2.59, 2 Rb 2.85
Rb (0.0000, 0.0000, 0.0000)  8 F 2.85
Ac (0.5000, 0.5000, 0.5000)  8 F 2.59
F (0.5000, 0.0000, 0.2795)  2 Ac 2.59, 2 F 2.59, 2 Rb 2.85
F (0.0000, 0.0000, 0.5000)  8 F 2.59
F (0.0000, 0.5000, 0.2795)  2 Ac 2.59, 2 F 2.59, 2 Rb 2.85
F (0.5000, 0.0000, 0.7205)  2 Ac 2.59, 2 F 2.59, 2 Rb 2.85

Summary:
Magnetic moment ... 0.14 μB/atom
Calculated total energy ... -5.1968 eV per atom
E_form (uncorrected) ... -3.135 eV/atom
Crystal system ... tetragonal


First-principles (PBE) data for a relaxed structure of NaMnGeSe4, as listed in Alexandria.

abc: 7.3611 7.3611 7.7489
angles: 90.00 90.00 112.77
Closest atoms and distances in Å follow each position.
Sites, in units of the cell vectors:
Se (0.7766, 0.7886, 0.7500)  1 Ge 2.40, 1 Mn 2.44
Na (0.5000, 0.5000, 0.5000)  6 Se 3.01-3.03
Se (0.2114, 0.2234, 0.7500)  1 Ge 2.40, 1 Mn 2.44
Se (0.7473, 0.2527, 0.5001)  1 Ge 2.39, 1 Mn 2.44
Ge (0.1385, 0.8615, 0.2500)  4 Se 2.39-2.40
Mn (0.1313, 0.8687, 0.7500)  4 Se 2.44
Se (0.2527, 0.7473, 0.4999)  1 Ge 2.39, 1 Mn 2.44
Se (0.2234, 0.2114, 0.2500)  1 Ge 2.40, 1 Mn 2.44
Se (0.7473, 0.2527, 0.9999)  1 Ge 2.39, 1 Mn 2.44
Mn (0.8687, 0.1313, 0.2500)  4 Se 2.44
Se (0.7886, 0.7766, 0.2500)  1 Ge 2.40, 1 Mn 2.44
Na (0.5000, 0.5000, 0.0000)  6 Se 3.01-3.03
Se (0.2527, 0.7473, 0.0001)  1 Ge 2.39, 1 Mn 2.44
Ge (0.8615, 0.1385, 0.7500)  4 Se 2.39-2.40

Summary:
Magnetic moment ... 0.57 μB/atom
Calculated total energy ... -4.5806 eV per atom
E_form (uncorrected) ... -0.431 eV/atom
Crystal system ... orthorhombic


First-principles (PBE) data for a relaxed structure of FeRe2BW, as listed in Alexandria.

abc: 4.1146 3.8240 4.1146
angles: 90.00 90.00 90.00
Closest atoms and distances in Å follow each position.
Sites, in units of the cell vectors:
Re (0.0000, 0.0000, 0.5000)  2 B 2.06
Fe (0.0000, 0.5000, 0.0000)  2 B 1.91
W (0.5000, 0.5000, 0.5000)  8 Re 2.81, 4 Fe 2.91
Re (0.5000, 0.0000, 0.0000)  2 B 2.06
B (0.0000, 0.0000, 0.0000)  2 Fe 1.91, 4 Re 2.06

Summary:
DFT formation energy ... 93 meV per atom
Magnetic moment ... 0.00 μB/atom
Calculated total energy ... -10.5048 eV per atom
Crystal system ... tetragonal


First-principles (PBE) data for a relaxed structure of Ni2Ag2Pt, as listed in Alexandria.

abc: 6.2461 6.2461 3.9702
angles: 90.00 90.00 90.00
Closest atoms and distances in Å follow each position.
Sites, in units of the cell vectors:
Ni (0.8725, 0.6275, 0.0000)  1 Ni 2.25, 2 Pt 2.46
Pt (0.5000, 0.5000, 0.0000)  4 Ni 2.46
Ag (0.3262, 0.1738, 0.5000)  6 Ni 2.65-2.75
Ag (0.8262, 0.3262, 0.5000)  6 Ni 2.65-2.75
Ag (0.1738, 0.6738, 0.5000)  6 Ni 2.65-2.75
Ni (0.1275, 0.3725, 0.0000)  1 Ni 2.25, 2 Pt 2.46
Ni (0.3725, 0.8725, 0.0000)  1 Ni 2.25, 2 Pt 2.46
Ag (0.6738, 0.8262, 0.5000)  6 Ni 2.65-2.75
Ni (0.6275, 0.1275, 0.0000)  1 Ni 2.25, 2 Pt 2.46
Pt (0.0000, 0.0000, 0.0000)  4 Ni 2.46

Summary:
DFT formation energy ... 281 meV per atom
Magnetic moment ... 0.25 μB/atom
Calculated total energy ... -4.3803 eV per atom
Crystal system ... tetragonal
ΔE to the lowest computed polymorph ... 0 meV/atom


First-principles (PBE) data for a relaxed structure of Cu2NiH4Pd, as listed in Alexandria.

abc: 2.8292 4.6283 4.8091
angles: 75.33 90.00 90.00
Closest atoms and distances in Å follow each position.
Sites, in units of the cell vectors:
H (0.0000, 0.2756, 0.2534)  1 Ni 1.76, 1 Cu 1.97
H (0.5000, 0.6983, 0.3147)  2 Ni 1.80, 1 Cu 1.84, 1 Pd 1.96
H (0.5000, 0.3017, 0.6853)  2 Ni 1.80, 1 Cu 1.84, 1 Pd 1.96
Cu (0.0000, 0.0000, 0.0000)  2 H 1.97
H (0.0000, 0.7244, 0.7466)  1 Ni 1.76, 1 Cu 1.97
Ni (0.0000, 0.5000, 0.5000)  6 H 1.76-1.80
Pd (0.5000, 0.5000, 0.0000)  6 H 1.96-1.98
Cu (0.5000, 0.0000, 0.5000)  2 H 1.84

Summary:
Magnetic moment ... 0.00 μB/atom
Calculated total energy ... -4.0269 eV per atom
Crystal system ... monoclinic


First-principles (PBE) data for a relaxed structure of Cd2Pd3Au6, as listed in Alexandria.

abc: 3.9471 3.9471 14.1254
angles: 98.03 98.03 90.00
Closest atoms and distances in Å follow each position.
Sites, in units of the cell vectors:
Pd (0.0000, 0.0000, 0.0000)  8 Au 2.77
Au (0.4297, 0.9297, 0.8595)  4 Pd 2.77-2.87, 4 Au 2.79, 2 Cd 3.09
Au (0.7567, 0.7567, 0.5133)  1 Pd 2.71, 1 Cd 2.78, 4 Au 2.82
Au (0.0703, 0.5703, 0.1405)  4 Pd 2.77-2.87, 4 Au 2.79, 2 Cd 3.09
Pd (0.8547, 0.8547, 0.7094)  5 Au 2.71-2.87, 4 Cd 2.81
Au (0.5703, 0.0703, 0.1405)  4 Pd 2.77-2.87, 4 Au 2.79, 2 Cd 3.09
Pd (0.1453, 0.1453, 0.2906)  5 Au 2.71-2.87, 4 Cd 2.81
Cd (0.3437, 0.3437, 0.6873)  5 Au 2.78-3.09, 4 Pd 2.81
Au (0.9297, 0.4297, 0.8595)  4 Pd 2.77-2.87, 4 Au 2.79, 2 Cd 3.09
Au (0.2433, 0.2433, 0.4867)  1 Pd 2.71, 1 Cd 2.78, 4 Au 2.82
Cd (0.6563, 0.6563, 0.3127)  5 Au 2.78-3.09, 4 Pd 2.81

Summary:
DFT formation energy ... -23 meV per atom
Magnetic moment ... 0.00 μB/atom
Calculated total energy ... -3.3936 eV per atom
Crystal system ... tetragonal


First-principles (PBE) data for a relaxed structure of K2ZrPb, as listed in Alexandria.

abc: 6.5629 3.4255 5.7877
angles: 84.16 90.00 90.00
Closest atoms and distances in Å follow each position.
Sites, in units of the cell vectors:
K (0.0000, 0.0104, 0.0062)  5 K 3.18-3.43
Pb (0.5000, 0.2500, 0.2500)  4 Zr 3.21-3.51, 2 Pb 3.43
Zr (0.5000, 0.7500, 0.7500)  4 Pb 3.21-3.51, 2 Zr 3.43
K (0.0000, 0.4896, 0.4938)  5 K 3.18-3.43

Summary:
DFT formation energy ... 470 meV per atom
Magnetic moment ... 0.28 μB/atom
Calculated total energy ... -3.1432 eV per atom
Crystal system ... monoclinic
ΔE to the lowest computed polymorph ... 280 meV/atom


First-principles (PBE) data for a relaxed structure of CaMnReTc2, as listed in Alexandria.

abc: 4.6885 5.2295 4.6885
angles: 90.00 90.00 90.00
Closest atoms and distances in Å follow each position.
Sites, in units of the cell vectors:
Tc (0.0000, 0.0000, 0.5000)  2 Re 2.34
Tc (0.5000, 0.0000, 0.0000)  2 Re 2.34
Mn (0.5000, 0.5000, 0.5000)  4 Ca 3.32, 8 Tc 3.51
Ca (0.0000, 0.5000, 0.0000)  2 Re 2.61
Re (0.0000, 0.0000, 0.0000)  4 Tc 2.34, 2 Ca 2.61

Summary:
DFT formation energy ... 1926 meV per atom
Magnetic moment ... 0.15 μB/atom
Calculated total energy ... -6.9439 eV per atom
Crystal system ... tetragonal


First-principles (PBE) data for a relaxed structure of PI2BrCl, as listed in Alexandria.

abc: 5.5126 5.0387 5.5126
angles: 90.00 90.00 90.00
Closest atoms and distances in Å follow each position.
Sites, in units of the cell vectors:
Cl (0.5000, 0.5000, 0.5000)  8 I 3.73, 4 Br 3.90
I (0.5000, 0.0000, 0.0000)  2 P 2.76
P (0.0000, 0.0000, 0.0000)  2 Br 2.52, 4 I 2.76
I (0.0000, 0.0000, 0.5000)  2 P 2.76
Br (0.0000, 0.5000, 0.0000)  2 P 2.52

Summary:
Magnetic moment ... 0.20 μB/atom
Calculated total energy ... -2.1450 eV per atom
E_form (uncorrected) ... 0.261 eV/atom
Crystal system ... tetragonal